A relaxed structure of FeGeF3, computed with PBE with a Hubbard U.

a = 4.3457 Å, b = 4.3457 Å, c = 4.3457 Å
α = 90.00°, β = 90.00°, γ = 90.00°
Closest atoms and distances in Å follow each position.
Atoms (fractional coordinates):
F (0.5000, 0.0000, 0.0000)  2 Ge 2.17
F (0.0000, 0.5000, 0.0000)  2 Ge 2.17
F (0.0000, 0.0000, 0.5000)  2 Ge 2.17
Fe (0.5000, 0.5000, 0.5000)  12 F 3.07
Ge (0.0000, 0.0000, 0.0000)  6 F 2.17

## Properties
crystal system: cubic
electronic total energy: -0.163 hartree per atom
SG: Pm-3m (221)